(1)
# GeTeS3

GeTeS3 after structural relaxation (GGA-PBE, Alexandria).

Its density of states at the Fermi level is 3.7 states/eV/f.u. For the energy relative to the elements, uncorrected, the calculation gives 0.440 eV per atom. The energy above the most stable polymorph in this dataset is 0.386 eV per atom.

The space group is Pm-3m (No. 221) and the conventional cell measures 4.7165, 4.7165 and 4.7165 Å, with angles of 90.00, 90.00 and 90.00 degrees. The asymmetric unit holds Ge at (0.0000, 0.0000, 0.0000), Te at (0.5000, 0.5000, 0.5000) and S at (0.0000, 0.0000, 0.5000).



(2)
# Ge3TeS

Ge3TeS after structural relaxation (GGA-PBE, Alexandria).

Its density of states at the Fermi level is 2.8 states/eV/f.u. For the energy relative to the elements, uncorrected, the calculation gives 0.436 eV per atom. The energy above the most stable polymorph in this dataset is 0.000 eV per atom.

The space group is Pm-3m (No. 221) and the conventional cell measures 5.0196, 5.0196 and 5.0196 Å, with angles of 90.00, 90.00 and 90.00 degrees. The asymmetric unit holds Ge at (0.0000, 0.0000, 0.5000), Te at (0.5000, 0.5000, 0.5000) and S at (0.0000, 0.0000, 0.0000).



(3)
# Ge2TeS2

Ge2TeS2 after structural relaxation (GGA-PBE, Alexandria).

Its density of states at the Fermi level is 3.3 states/eV/f.u. For the energy relative to the elements, uncorrected, the calculation gives 0.154 eV per atom. The energy above the most stable polymorph in this dataset is 0.299 eV per atom.

The space group is I4/mmm (No. 139) and the conventional cell measures 4.6460, 4.6460 and 9.8988 Å, with angles of 90.00, 90.00 and 90.00 degrees. The asymmetric unit holds Ge at (0.0000, 0.0000, 0.1413), Te at (0.0000, 0.0000, 0.5000) and S at (0.0000, 0.5000, 0.2500).



(4)
# GeTeS3

GeTeS3 after structural relaxation (GGA-PBE, Alexandria).

Its density of states at the Fermi level is 1.3 states/eV/f.u. For the energy relative to the elements, uncorrected, the calculation gives 0.054 eV per atom. The energy above the most stable polymorph in this dataset is 0.000 eV per atom.

The space group is P2_1/m (No. 11) and the conventional cell measures 3.8795, 8.8106 and 7.2456 Å, with angles of 90.00, 90.11 and 90.00 degrees. The asymmetric unit holds Ge at (0.0000, 0.0000, 0.0000), Te at (0.4986, 0.2500, 0.5719), S at (0.0028, 0.2500, 0.1145) and S at (0.4996, 0.0259, 0.7652).



(5)
# Ge2TeS2

Ge2TeS2 after structural relaxation (GGA-PBE, Alexandria).

Its density of states at the Fermi level is 2.0 states/eV/f.u. For the energy relative to the elements, uncorrected, the calculation gives 0.001 eV per atom. The energy above the most stable polymorph in this dataset is 0.147 eV per atom.

The space group is I4_1md (No. 109) and the conventional cell measures 7.1079, 7.1079 and 13.1695 Å, with angles of 90.00, 90.00 and 90.00 degrees. The asymmetric unit holds Ge at (0.0000, 0.2890, 0.0000), Te at (0.0000, 0.0000, 0.1293) and S at (0.0000, 0.2387, 0.8079).



(6)
# Ge5Te4S

Ge5Te4S after structural relaxation (GGA-PBE, Alexandria).

For the energy relative to the elements, uncorrected, the calculation gives -0.089 eV per atom.

The space group is Cm (No. 8) and the conventional cell measures 6.0179, 29.5195 and 4.1292 Å, with angles of 90.00, 133.21 and 90.00 degrees. The asymmetric unit holds Ge at (0.0000, 0.0000, 0.0000), Ge at (0.0687, 0.2004, 0.0705), Ge at (0.0741, 0.4064, 0.0746), Te at (0.1337, 0.3022, 0.1362), Te at (0.1369, 0.0990, 0.1381) and S at (0.1517, 0.5000, 0.1524).



Q: Among the records above, which one has the highest energy relative to the elements, uncorrected?
A: number 1